20
Lattice="5.612 0.000 -0.050 0.000 5.825 0.000 -0.023 0.000 8.068" Properties=species:S:1:pos:R:3 comment="Ca2YIrO6 (PBE, relaxed)" e_tot_ev_per_cell=-145.15 formation_energy_uncorrected_ev_per_atom=-2.35 spacegroup="P2_1/c, No. 14" magnetic_moment_mub_per_fu=2.0 pbc="T T T"
O 3.983 1.823 7.585
O 1.006 1.259 0.487
O 4.582 4.566 7.531
O 0.601 2.658 6.185
O 1.606 4.003 0.433
O 1.788 4.172 3.522
O 3.800 1.653 4.496
O 1.188 1.090 3.576
O 4.400 4.735 4.442
O 3.419 0.255 2.126
O 2.170 5.570 5.892
O 4.987 3.168 1.833
Y -0.012 2.913 4.034
Y 2.806 0.000 -0.025
Ir 2.794 0.000 4.009
Ir 0.000 2.913 0.000
Ca 2.883 3.241 6.030
Ca 2.705 2.584 1.988
Ca 0.089 5.497 2.021
Ca 5.500 0.329 5.997